(1)
Below is a relaxed structure of SbTe2Au, with properties calculated at the PBE level.

```
SbTe2Au
1.0
-2.030 2.899 5.112
2.030 -2.899 5.112
2.030 2.899 -5.112
Sb Te Au
1 2 1
Direct
0.000 0.000 0.000
0.236 0.736 0.500
0.634 0.634 0.000
0.820 0.320 0.500
```

space-group type = No. 44
spin magnetization = 0.000 μB per formula unit
theoretical density = 7.9 g/cm3
formation energy from raw total energies = 0.17 eV per atom
total energy = -13.01 eV for the cell shown

---

(2)
Below is a relaxed structure of Ho8Ga2Ru, with properties calculated at the PBE level.

```
Ho8Ga2Ru
1.0
8.784 -2.508 0.000
8.784 2.508 0.000
-1.506 0.000 6.481
Ho Ga Ru
8 2 1
Direct
0.024 0.024 0.280
0.203 0.203 0.804
0.346 0.346 0.541
0.410 0.410 0.059
0.590 0.590 0.941
0.654 0.654 0.459
0.797 0.797 0.196
0.976 0.976 0.720
0.192 0.192 0.237
0.808 0.808 0.763
0.500 0.500 0.500
```

space-group type = No. 12
spin magnetization = 0.000 μB per formula unit
energy relative to the elements = -0.307 eV per atom
theoretical density = 9.1 g/cm3
total energy = -55.32 eV for the cell shown

---

(3)
Below is a relaxed structure of CaEr3Rh, with properties calculated at the PBE level.

```
CaEr3Rh
1.0
5.409 0.000 0.000
0.000 5.409 0.000
0.000 0.000 5.409
Ca Er Rh
1 3 1
Direct
0.000 0.000 0.000
0.000 0.500 0.500
0.500 0.000 0.500
0.500 0.500 0.000
0.500 0.500 0.500
```

space-group type = No. 221
spin magnetization = 0.000 μB per formula unit
energy relative to the elements = -0.309 eV per atom
theoretical density = 6.8 g/cm3
total energy = -24.59 eV for the cell shown

---

total energy of number 2 (Ho8Ga2Ru)?
-55.32 eV for the cell shown